First-principles (GGA-PBE) data for crystalline Na2Pd4S at its relaxed geometry, as listed in Alexandria via LeMat-Bulk.

The formation energy from raw total energies comes out at -39.6 meV per atom.

It has space group I4/mmm (No. 139), with a = 4.523 Å, b = 4.523 Å, c = 14.509 Å, α = 90.00°, β = 90.00° and γ = 90.00°. The inequivalent atoms are Na at (0.000, 0.000, 0.143), Pd at (0.000, 0.000, 0.345), Pd at (0.000, 0.500, 0.000) and S at (0.000, 0.000, 0.500).

***

First-principles (GGA-PBE) data for crystalline BaPtPb2 at its relaxed geometry, as listed in Alexandria via LeMat-Bulk.

The energy relative to the elements is -0.203 eV/atom.

It has space group I-4m2 (No. 119), with a = 5.264 Å, b = 5.264 Å, c = 8.339 Å, α = 90.00°, β = 90.00° and γ = 90.00°. The inequivalent atoms are Ba at (0.000, 0.000, 0.000), Pt at (0.000, 0.500, 0.250), Pb at (0.000, 0.000, 0.500) and Pb at (0.000, 0.500, 0.750).

***

First-principles (GGA-PBE) data for crystalline Tm6Ga2Tc at its relaxed geometry, as listed in Alexandria via LeMat-Bulk.

The energy relative to the elements is -0.179 eV/atom.

It has space group Immm (No. 71), with a = 4.907 Å, b = 6.920 Å, c = 14.322 Å, α = 90.00°, β = 90.00° and γ = 90.00°. The inequivalent atoms are Tm at (0.000, 0.236, 0.000), Tm at (0.000, 0.254, 0.340), Ga at (0.000, 0.500, 0.167) and Tc at (0.000, 0.500, 0.500).

***

First-principles (GGA-PBE) data for crystalline MnReTc at its relaxed geometry, as listed in Alexandria via LeMat-Bulk.

The energy relative to the elements is 0.082 eV/atom. For the relative energy among the computed polymorphs, the calculation gives 0 meV per atom.

It has space group P6_3/mmc (No. 194), with a = 4.1975 Å, b = 4.1975 Å, c = 5.3326 Å, α = 90.00°, β = 90.00° and γ = 120.00°. The inequivalent atoms are Mn at (0.3333, 0.6667, 0.2500), Re at (0.3333, 0.6667, 0.7500) and Tc at (0.0000, 0.0000, 0.0000).

***

First-principles (GGA-PBE) data for crystalline KGaSb4 at its relaxed geometry, as listed in Alexandria via LeMat-Bulk.

The formation energy from raw total energies comes out at -233.4 meV per atom.

It has space group Pnma (No. 62), with a = 10.537 Å, b = 4.276 Å, c = 18.218 Å, α = 90.00°, β = 90.00° and γ = 90.00°. The inequivalent atoms are K at (0.179, 0.250, 0.067), Ga at (0.183, 0.750, 0.369), Sb at (0.034, 0.250, 0.550), Sb at (0.071, 0.750, 0.752), Sb at (0.113, 0.750, 0.227) and Sb at (0.170, 0.750, 0.899).

***

First-principles (GGA-PBE) data for crystalline CsK3Al at its relaxed geometry, as listed in Alexandria via LeMat-Bulk.

The energy relative to the elements is 0.237 eV/atom. For the relative energy among the computed polymorphs, the calculation gives 0 meV per atom.

It has space group Pm-3m (No. 221), with a = 6.969 Å, b = 6.969 Å, c = 6.969 Å, α = 90.00°, β = 90.00° and γ = 90.00°. The inequivalent atoms are Cs at (0.000, 0.000, 0.000), K at (0.000, 0.500, 0.500) and Al at (0.500, 0.500, 0.500).

***

Number 1: M_tot 0.0 Bohr magnetons per cell. Number 2: M_tot 0.0 Bohr magnetons per cell. Number 3: M_tot 0.0 Bohr magnetons per cell. Number 4: M_tot 0.0 Bohr magnetons per cell. Number 5: M_tot 0.0 Bohr magnetons per cell. Number 6: M_tot 0.0 Bohr magnetons per cell.